# Cs2SrBr6N, optimized geometry, DFT PBE
# - Spin magnetization: 2.00 μB per cell
# - Electronic total energy: -3.037 eV per atom
# - Formation energy without anion corrections: -0.862 eV/atom
data_Cs2SrBr6N
_cell_length_a 7.603
_cell_length_b 7.603
_cell_length_c 13.233
_cell_angle_alpha 90.00
_cell_angle_beta 90.00
_cell_angle_gamma 90.00
_symmetry_space_group_name_H-M 'I 4/m m m'
_symmetry_Int_Tables_number 139
_symmetry_space_group_name_Hall '-I 4 2'
loop_
_atom_site_label
_atom_site_type_symbol
_atom_site_fract_x
_atom_site_fract_y
_atom_site_fract_z
Cs1 Cs 0.000 0.500 0.250
Sr1 Sr 0.000 0.000 0.000
Br1 Br 0.000 0.000 0.224
Br2 Br 0.215 0.215 0.500
N1 N 0.000 0.000 0.500

# KSr3Cd, optimized geometry, DFT PBE
# - Polymorph energy (0 for the lowest one): 0 meV per atom
# - Spin magnetization: 0.00 μB per cell
# - Electronic total energy: -1.429 eV per atom
# - ΔE_f: -0.018 eV/atom
data_KSr3Cd
_cell_length_a 6.523
_cell_length_b 6.523
_cell_length_c 6.523
_cell_angle_alpha 90.00
_cell_angle_beta 90.00
_cell_angle_gamma 90.00
_symmetry_space_group_name_H-M 'P m -3 m'
_symmetry_Int_Tables_number 221
_symmetry_space_group_name_Hall '-P 4 2 3'
loop_
_atom_site_label
_atom_site_type_symbol
_atom_site_fract_x
_atom_site_fract_y
_atom_site_fract_z
K1 K 0.000 0.000 0.000
Sr1 Sr 0.000 0.500 0.500
Cd1 Cd 0.500 0.500 0.500

# LaNb2AgSe, optimized geometry, DFT PBE
# - Spin magnetization: 0.00 μB per cell
# - Electronic total energy: -4.540 eV per atom
# - Formation energy without anion corrections: 1.741 eV/atom
data_LaNb2AgSe
_cell_length_a 4.954
_cell_length_b 4.954
_cell_length_c 5.456
_cell_angle_alpha 90.00
_cell_angle_beta 90.00
_cell_angle_gamma 90.00
_symmetry_space_group_name_H-M 'P 4/m m m'
_symmetry_Int_Tables_number 123
_symmetry_space_group_name_Hall '-P 4 2'
loop_
_atom_site_label
_atom_site_type_symbol
_atom_site_fract_x
_atom_site_fract_y
_atom_site_fract_z
La1 La 0.000 0.000 0.000
Nb1 Nb 0.000 0.500 0.000
Ag1 Ag 0.000 0.000 0.500
Se1 Se 0.500 0.500 0.500

# I2Br6Cl, optimized geometry, DFT PBE
# - Spin magnetization: 0.00 μB per cell
# - Electronic total energy: -1.628 eV per atom
# - Formation energy without anion corrections: 0.037 eV/atom
data_I2Br6Cl
_cell_length_a 10.340
_cell_length_b 21.883
_cell_length_c 9.029
_cell_angle_alpha 90.00
_cell_angle_beta 105.05
_cell_angle_gamma 90.00
_symmetry_space_group_name_H-M 'C 1 2/c 1'
_symmetry_Int_Tables_number 15
_symmetry_space_group_name_Hall '-C 2yc'
loop_
_atom_site_label
_atom_site_type_symbol
_atom_site_fract_x
_atom_site_fract_y
_atom_site_fract_z
I1 I 0.118 0.131 0.387
Br1 Br 0.128 0.341 0.562
Br2 Br 0.137 0.303 0.043
Br3 Br 0.188 0.119 0.857
Cl1 Cl 0.000 0.046 0.750

# NaPrEuAg, optimized geometry, DFT PBE
# - Spin magnetization: 29.28 μB per cell
# - Electronic total energy: -4.768 eV per atom
# - ΔE_f: 0.038 eV/atom
data_NaPrEuAg
_cell_length_a 7.863
_cell_length_b 7.863
_cell_length_c 7.863
_cell_angle_alpha 90.00
_cell_angle_beta 90.00
_cell_angle_gamma 90.00
_symmetry_space_group_name_H-M 'F -4 3 m'
_symmetry_Int_Tables_number 216
_symmetry_space_group_name_Hall 'F -4 2 3'
loop_
_atom_site_label
_atom_site_type_symbol
_atom_site_fract_x
_atom_site_fract_y
_atom_site_fract_z
Na1 Na 0.000 0.000 0.000
Pr1 Pr 0.250 0.250 0.750
Eu1 Eu 0.250 0.250 0.250
Ag1 Ag 0.000 0.000 0.500

# Nd2CuS, optimized geometry, DFT PBE
# - Polymorph energy (0 for the lowest one): 0 meV per atom
# - Spin magnetization: 0.00 μB per cell
# - Electronic total energy: -5.533 eV per atom
# - Formation energy without anion corrections: -1.093 eV/atom
data_Nd2CuS
_cell_length_a 4.043
_cell_length_b 23.661
_cell_length_c 4.069
_cell_angle_alpha 90.00
_cell_angle_beta 90.00
_cell_angle_gamma 90.00
_symmetry_space_group_name_H-M 'C m c m'
_symmetry_Int_Tables_number 63
_symmetry_space_group_name_Hall '-C 2c 2'
loop_
_atom_site_label
_atom_site_type_symbol
_atom_site_fract_x
_atom_site_fract_y
_atom_site_fract_z
Nd1 Nd 0.000 0.071 0.250
Nd2 Nd 0.000 0.311 0.250
Cu1 Cu 0.000 0.465 0.250
S1 S 0.000 0.191 0.250

# Dy5Ga2C, optimized geometry, DFT PBE
# - Spin magnetization: 0.00 μB per cell
# - Electronic total energy: -4.869 eV per atom
# - ΔE_f: -0.083 eV/atom
data_Dy5Ga2C
_cell_length_a 5.077
_cell_length_b 15.317
_cell_length_c 11.581
_cell_angle_alpha 90.00
_cell_angle_beta 90.00
_cell_angle_gamma 90.00
_symmetry_space_group_name_H-M 'C m c m'
_symmetry_Int_Tables_number 63
_symmetry_space_group_name_Hall '-C 2c 2'
loop_
_atom_site_label
_atom_site_type_symbol
_atom_site_fract_x
_atom_site_fract_y
_atom_site_fract_z
Dy1 Dy 0.000 0.080 0.103
Dy2 Dy 0.000 0.301 0.750
Dy3 Dy 0.000 0.303 0.091
Ga1 Ga 0.000 0.112 0.643
C1 C 0.000 0.188 0.250

# CeMnReSi2, optimized geometry, DFT PBE
# - Spin magnetization: 6.22 μB per cell
# - Electronic total energy: -8.216 eV per atom
# - Formation energy without anion corrections: -0.536 eV/atom
data_CeMnReSi2
_cell_length_a 4.048
_cell_length_b 4.048
_cell_length_c 10.427
_cell_angle_alpha 90.00
_cell_angle_beta 90.00
_cell_angle_gamma 90.00
_symmetry_space_group_name_H-M 'I -4 m 2'
_symmetry_Int_Tables_number 119
_symmetry_space_group_name_Hall 'I -4 -2'
loop_
_atom_site_label
_atom_site_type_symbol
_atom_site_fract_x
_atom_site_fract_y
_atom_site_fract_z
Ce1 Ce 0.000 0.000 0.000
Mn1 Mn 0.000 0.500 0.250
Re1 Re 0.000 0.500 0.750
Si1 Si 0.000 0.000 0.380

# DyGa3Pd2, optimized geometry, DFT PBE
# - Spin magnetization: 0.00 μB per cell
# - Electronic total energy: -4.685 eV per atom
# - ΔE_f: -0.673 eV/atom
data_DyGa3Pd2
_cell_length_a 9.405
_cell_length_b 8.153
_cell_length_c 5.666
_cell_angle_alpha 90.00
_cell_angle_beta 90.00
_cell_angle_gamma 90.00
_symmetry_space_group_name_H-M 'C m c m'
_symmetry_Int_Tables_number 63
_symmetry_space_group_name_Hall '-C 2c 2'
loop_
_atom_site_label
_atom_site_type_symbol
_atom_site_fract_x
_atom_site_fract_y
_atom_site_fract_z
Dy1 Dy 0.000 0.152 0.250
Ga1 Ga 0.000 0.481 0.750
Ga2 Ga 0.153 0.219 0.750
Pd1 Pd 0.230 0.500 0.000

# Ti2AgTe4, optimized geometry, DFT PBE
# - Polymorph energy (0 for the lowest one): 9 meV per atom
# - Spin magnetization: 0.59 μB per cell
# - Electronic total energy: -4.992 eV per atom
# - Formation energy without anion corrections: -0.533 eV/atom
data_Ti2AgTe4
_cell_length_a 6.686
_cell_length_b 3.887
_cell_length_c 7.216
_cell_angle_alpha 90.00
_cell_angle_beta 91.14
_cell_angle_gamma 90.00
_symmetry_space_group_name_H-M 'P 1 2/m 1'
_symmetry_Int_Tables_number 10
_symmetry_space_group_name_Hall '-P 2y'
loop_
_atom_site_label
_atom_site_type_symbol
_atom_site_fract_x
_atom_site_fract_y
_atom_site_fract_z
Ti1 Ti 0.000 0.000 0.000
Ti2 Ti 0.500 0.500 0.000
Ag1 Ag 0.000 0.000 0.500
Te1 Te 0.176 0.500 0.235
Te2 Te 0.335 0.000 0.766

# SrRhI2N, optimized geometry, DFT PBE
# - Polymorph energy (0 for the lowest one): 0 meV per atom
# - Spin magnetization: 0.00 μB per cell
# - Electronic total energy: -4.392 eV per atom
# - Formation energy without anion corrections: -0.301 eV/atom
data_SrRhI2N
_cell_length_a 5.801
_cell_length_b 5.801
_cell_length_c 3.824
_cell_angle_alpha 90.00
_cell_angle_beta 90.00
_cell_angle_gamma 90.00
_symmetry_space_group_name_H-M 'P 4/m m m'
_symmetry_Int_Tables_number 123
_symmetry_space_group_name_Hall '-P 4 2'
loop_
_atom_site_label
_atom_site_type_symbol
_atom_site_fract_x
_atom_site_fract_y
_atom_site_fract_z
Sr1 Sr 0.000 0.000 0.000
Rh1 Rh 0.500 0.500 0.500
I1 I 0.000 0.500 0.500
N1 N 0.500 0.500 0.000

# KZn3P, optimized geometry, DFT PBE
# - Polymorph energy (0 for the lowest one): 0 meV per atom
# - Spin magnetization: 0.00 μB per cell
# - Electronic total energy: -1.807 eV per atom
# - ΔE_f: 0.259 eV/atom
data_KZn3P
_cell_length_a 4.989
_cell_length_b 4.989
_cell_length_c 4.989
_cell_angle_alpha 90.00
_cell_angle_beta 90.00
_cell_angle_gamma 90.00
_symmetry_space_group_name_H-M 'P m -3 m'
_symmetry_Int_Tables_number 221
_symmetry_space_group_name_Hall '-P 4 2 3'
loop_
_atom_site_label
_atom_site_type_symbol
_atom_site_fract_x
_atom_site_fract_y
_atom_site_fract_z
K1 K 0.000 0.000 0.000
Zn1 Zn 0.000 0.500 0.500
P1 P 0.500 0.500 0.500

- Number 3 is which compound?
  LaNb2AgSe

- Look up the spin magnetization of the second one.
  0.00 μB per cell

- Which value of electronic total energy does entry 8 give?
  -8.216 eV per atom